1.
A plane-wave DFT calculation with PBE-GGA was carried out for a geometry-optimized Na3AlCl6 structure.

Unit cell a=6.682 b=7.049 c=11.850 alpha=90.00 beta=124.31 gamma=90.00
Space group P2_1/c (No. 14)
Unique sites:
1 Na 0.000 0.000 0.000
2 Na 0.277 0.080 0.747
3 Al 0.500 0.000 0.500
4 Cl 0.149 0.046 0.278
5 Cl 0.277 0.675 0.061
6 Cl 0.408 0.219 0.071

Results
Its density is 2.2 g cm⁻³. The density of states at the Fermi level comes out at 0.00 states/eV per cell. Its offset from the most stable computed form is 0.000 eV per atom.


2.
A plane-wave DFT calculation with PBE-GGA was carried out for a geometry-optimized NaAl2Cl8 structure.

Unit cell a=14.684 b=8.150 c=6.408 alpha=90.00 beta=103.20 gamma=90.00
Space group C2/m (No. 12)
Unique sites:
1 Na 0.000 0.000 0.000
2 Al 0.168 0.000 0.660
3 Cl 0.094 0.212 0.745
4 Cl 0.169 0.000 0.326
5 Cl 0.190 0.500 0.151

Results
Its density is 1.6 g cm⁻³. The density of states at the Fermi level comes out at 21.05 states/eV per cell. Its offset from the most stable computed form is 0.003 eV per atom.


3.
A plane-wave DFT calculation with PBE-GGA was carried out for a geometry-optimized NaAl3Cl structure.

Unit cell a=5.414 b=5.414 c=5.414 alpha=90.00 beta=90.00 gamma=90.00
Space group Pm-3m (No. 221)
Unique sites:
1 Na 0.000 0.000 0.000
2 Al 0.000 0.000 0.500
3 Cl 0.500 0.500 0.500

Results
Its density is 1.5 g cm⁻³. The density of states at the Fermi level comes out at 3.56 states/eV per cell. Its offset from the most stable computed form is 0.377 eV per atom.


4.
A plane-wave DFT calculation with PBE-GGA was carried out for a geometry-optimized NaAl3Cl structure.

Unit cell a=5.254 b=5.254 c=5.254 alpha=90.00 beta=90.00 gamma=90.00
Space group Pm-3m (No. 221)
Unique sites:
1 Na 0.000 0.000 0.000
2 Al 0.000 0.500 0.500
3 Cl 0.500 0.500 0.500

Results
Its density is 1.6 g cm⁻³. The density of states at the Fermi level comes out at 2.24 states/eV per cell. Its offset from the most stable computed form is 0.000 eV per atom.


5.
A plane-wave DFT calculation with PBE-GGA was carried out for a geometry-optimized Na3AlCl6 structure.

Unit cell a=10.017 b=10.017 c=10.017 alpha=90.00 beta=90.00 gamma=90.00
Space group Fm-3m (No. 225)
Unique sites:
1 Na 0.000 0.000 0.000
2 Na 0.250 0.250 0.250
3 Al 0.000 0.000 0.500
4 Cl 0.000 0.000 0.268

Results
Its density is 2.0 g cm⁻³. The density of states at the Fermi level comes out at 0.00 states/eV per cell. Its offset from the most stable computed form is 0.098 eV per atom.


6.
A plane-wave DFT calculation with PBE-GGA was carried out for a geometry-optimized Na2AlCl6 structure.

Unit cell a=6.267 b=6.267 c=11.936 alpha=90.00 beta=90.00 gamma=90.00
Space group P4_2/mnm (No. 136)
Unique sites:
1 Na 0.000 0.000 0.168
2 Al 0.000 0.000 0.500
3 Cl 0.183 0.183 0.360
4 Cl 0.237 0.237 0.000

Results
Its density is 2.0 g cm⁻³. The density of states at the Fermi level comes out at 16.80 states/eV per cell. Its total energy is -3.305 eV per atom.


7.
A plane-wave DFT calculation with PBE-GGA was carried out for a geometry-optimized NaAlCl3 structure.

Unit cell a=5.022 b=5.022 c=5.022 alpha=90.00 beta=90.00 gamma=90.00
Space group Pm-3m (No. 221)
Unique sites:
1 Na 0.000 0.000 0.000
2 Al 0.500 0.500 0.500
3 Cl 0.000 0.500 0.500

Results
Its density is 2.1 g cm⁻³. The density of states at the Fermi level comes out at 0.86 states/eV per cell. Its total energy is -3.323 eV per atom.


8.
A plane-wave DFT calculation with PBE-GGA was carried out for a geometry-optimized NaAlCl3 structure.

Unit cell a=5.168 b=5.168 c=5.168 alpha=90.00 beta=90.00 gamma=90.00
Space group Pm-3m (No. 221)
Unique sites:
1 Na 0.000 0.000 0.000
2 Al 0.500 0.500 0.500
3 Cl 0.000 0.000 0.500

Results
Its density is 1.9 g cm⁻³. The density of states at the Fermi level comes out at 3.57 states/eV per cell. Its total energy is -2.618 eV per atom.


9.
A plane-wave DFT calculation with PBE-GGA was carried out for a geometry-optimized Na3AlCl6 structure.

Unit cell a=11.405 b=14.860 c=7.163 alpha=90.00 beta=90.00 gamma=90.00
Space group Cmc2_1 (No. 36)
Unique sites:
1 Na 0.000 0.055 0.000
2 Na 0.235 0.399 0.077
3 Al 0.000 0.301 0.758
4 Cl 0.000 0.319 0.463
5 Cl 0.000 0.424 0.920
6 Cl 0.153 0.226 0.851
7 Cl 0.165 0.031 0.274

Results
Its density is 1.7 g cm⁻³. The density of states at the Fermi level comes out at 0.00 states/eV per cell. Its offset from the most stable computed form is 0.002 eV per atom.


10.
A plane-wave DFT calculation with PBE-GGA was carried out for a geometry-optimized Na4Al6ClO12 structure.

Unit cell a=9.222 b=9.222 c=9.222 alpha=90.00 beta=90.00 gamma=90.00
Space group I-43m (No. 217)
Unique sites:
1 Na 0.172 0.172 0.828
2 Al 0.000 0.250 0.500
3 Cl 0.000 0.000 0.000
4 O 0.069 0.361 0.361

Results
Its density is 2.0 g cm⁻³. The density of states at the Fermi level comes out at 9.26 states/eV per cell. Its total energy is -6.214 eV per atom.


11.
A plane-wave DFT calculation with PBE-GGA was carried out for a geometry-optimized Na4Al3Si9ClO24 structure.

Unit cell a=7.643 b=9.408 c=9.436 alpha=80.63 beta=66.53 gamma=66.61
Space group P1 (No. 1)
Unique sites:
1 Na 0.000 0.000 0.000
2 Na 0.090 0.251 0.585
3 Na 0.345 0.577 0.726
4 Na 0.471 0.845 0.353
5 Al 0.092 0.332 0.915
6 Al 0.503 0.170 0.243
7 Al 0.781 0.485 0.400
8 Si 0.102 0.156 0.240
9 Si 0.350 0.495 0.407
10 Si 0.355 0.655 0.080
11 Si 0.557 0.160 0.738
12 Si 0.651 0.833 0.911
13 Si 0.676 0.335 0.916
14 Si 0.808 0.986 0.415
15 Si 0.890 0.660 0.588
16 Si 0.950 0.657 0.075
17 Cl 0.228 0.909 0.673
18 O 0.022 0.009 0.302
19 O 0.074 0.515 0.955
20 O 0.087 0.201 0.070
21 O 0.122 0.724 0.076
22 O 0.136 0.569 0.556
23 O 0.322 0.257 0.757
24 O 0.334 0.090 0.238
25 O 0.348 0.611 0.256
26 O 0.367 0.327 0.371
27 O 0.446 0.794 0.020
28 O 0.492 0.508 0.963
29 O 0.525 0.499 0.460
30 O 0.580 0.012 0.857
31 O 0.649 0.275 0.775
32 O 0.655 0.217 0.062
33 O 0.665 0.015 0.317
34 O 0.696 0.102 0.562
35 O 0.779 0.715 0.767
36 O 0.795 0.546 0.560
37 O 0.795 0.808 0.010
38 O 0.813 0.618 0.246
39 O 0.866 0.808 0.473
40 O 0.903 0.343 0.848
41 O 0.963 0.299 0.361

Results
Its density is 2.5 g cm⁻³. The density of states at the Fermi level comes out at 0.00 states/eV per cell. Its total energy is -7.266 eV per atom.


12.
A plane-wave DFT calculation with PBE-GGA was carried out for a geometry-optimized Na4Al3Si3ClO12 structure.

Unit cell a=12.648 b=8.991 c=8.914 alpha=90.00 beta=134.68 gamma=90.00
Space group C2 (No. 5)
Unique sites:
1 Na 0.175 0.000 0.499
2 Na 0.178 0.644 0.851
3 Al 0.000 0.571 0.000
4 Al 0.249 0.321 0.758
5 Si 0.000 0.076 0.000
6 Si 0.010 0.324 0.258
7 Cl 0.000 0.822 0.500
8 O 0.052 0.181 0.908
9 O 0.075 0.454 0.217
10 O 0.132 0.385 0.787
11 O 0.144 0.259 0.497
12 O 0.145 0.675 0.071
13 O 0.145 0.979 0.195

Results
Its density is 2.2 g cm⁻³. The density of states at the Fermi level comes out at 0.00 states/eV per cell. Its offset from the most stable computed form is 0.022 eV per atom.


13.
A plane-wave DFT calculation with PBE-GGA was carried out for a geometry-optimized Na4Al3Si3ClO12 structure.

Unit cell a=8.964 b=8.964 c=8.964 alpha=90.00 beta=90.00 gamma=90.00
Space group P-43n (No. 218)
Unique sites:
1 Na 0.177 0.177 0.177
2 Al 0.000 0.250 0.500
3 Si 0.000 0.500 0.250
4 Cl 0.000 0.000 0.000
5 O 0.063 0.361 0.649

Results
Its density is 2.2 g cm⁻³. The density of states at the Fermi level comes out at 0.00 states/eV per cell. Its offset from the most stable computed form is 0.000 eV per atom.


14.
A plane-wave DFT calculation with PBE-GGA was carried out for a geometry-optimized Na2AlOsCl structure.

Unit cell a=5.771 b=5.771 c=4.300 alpha=90.00 beta=90.00 gamma=90.00
Space group P4/mmm (No. 123)
Unique sites:
1 Na 0.000 0.500 0.000
2 Al 0.000 0.000 0.500
3 Os 0.500 0.500 0.000
4 Cl 0.500 0.500 0.500

Results
Its density is 3.5 g cm⁻³. The density of states at the Fermi level comes out at 4.29 states/eV per cell. Its total energy is -3.069 eV per atom.


15.
A plane-wave DFT calculation with PBE-GGA was carried out for a geometry-optimized NaAlPbCl6 structure.

Unit cell a=6.9101 b=6.9101 c=11.8731 alpha=90.00 beta=90.00 gamma=120.00
Space group P-31c (No. 163)
Unique sites:
1 Na 0.0000 0.0000 0.0000
2 Al 0.3333 0.6667 0.2500
3 Pb 0.3333 0.6667 0.7500
4 Cl 0.0601 0.3875 0.1334

Results
Its density is 3.2 g cm⁻³. The density of states at the Fermi level comes out at 0.00 states/eV per cell. Its total energy is -3.642 eV per atom.


16.
A plane-wave DFT calculation with PBE-GGA was carried out for a geometry-optimized Rb2NaAlCl6 structure.

Unit cell a=7.2111 b=7.2111 c=6.7660 alpha=90.00 beta=90.00 gamma=120.00
Space group P-3m1 (No. 164)
Unique sites:
1 Rb 0.3333 0.6667 0.1753
2 Na 0.0000 0.0000 0.5000
3 Al 0.0000 0.0000 0.0000
4 Cl 0.1537 0.3074 0.7966

Results
Its density is 2.4 g cm⁻³. The density of states at the Fermi level comes out at 0.00 states/eV per cell. Its total energy is -3.589 eV per atom.


17.
A plane-wave DFT calculation with PBE-GGA was carried out for a geometry-optimized Rb2NaAlCl6 structure.

Unit cell a=10.267 b=10.267 c=10.267 alpha=90.00 beta=90.00 gamma=90.00
Space group Fm-3m (No. 225)
Unique sites:
1 Rb 0.250 0.250 0.250
2 Na 0.000 0.000 0.000
3 Al 0.000 0.000 0.500
4 Cl 0.000 0.000 0.271

Results
Its density is 2.7 g cm⁻³. The density of states at the Fermi level comes out at 0.00 states/eV per cell. Its total energy is -3.589 eV per atom.


18.
A plane-wave DFT calculation with PBE-GGA was carried out for a geometry-optimized NaAlS2Cl structure.

Unit cell a=4.571 b=4.571 c=5.197 alpha=90.00 beta=90.00 gamma=90.00
Space group P4/mmm (No. 123)
Unique sites:
1 Na 0.000 0.000 0.000
2 Al 0.500 0.500 0.500
3 S 0.000 0.500 0.500
4 Cl 0.500 0.500 0.000

Results
Its density is 2.3 g cm⁻³. The density of states at the Fermi level comes out at 2.39 states/eV per cell. Its offset from the most stable computed form is 0.000 eV per atom.